Entry 1:
A plane-wave DFT calculation with PBE-GGA was carried out for a geometry-optimized K4Rb3Te4 structure.

Cell and atoms, written as CIF:
```
data_K4Rb3Te4
_chemical_formula_sum 'K4 Rb3 Te4'
_cell_length_a 5.454
_cell_length_b 9.601
_cell_length_c 10.954
_cell_angle_alpha 115.99
_cell_angle_beta 104.41
_cell_angle_gamma 90.00
_symmetry_space_group_name_H-M 'P 1'
_symmetry_Int_Tables_number 1
loop_
_symmetry_equiv_pos_as_xyz
'x,y,z'
loop_
_atom_site_label
_atom_site_type_symbol
_atom_site_fract_x
_atom_site_fract_y
_atom_site_fract_z
K1 K 0.673 0.876 0.346
K2 K 0.673 0.470 0.346
Rb1 Rb 0.000 0.500 0.000
Rb2 Rb 0.894 0.894 0.787
Te1 Te 0.500 0.817 0.000
K3 K 0.327 0.124 0.654
Rb3 Rb 0.106 0.106 0.213
Te2 Te 0.500 0.183 0.000
Te3 Te 0.221 0.721 0.442
K4 K 0.327 0.530 0.654
Te4 Te 0.779 0.279 0.558
```

Summary:
E: -2.73 eV/atom
Space-group type: No. 71
Volume: 495 Å³/cell
Total magnetic moment: 0.9 μB/cell
Raw formation energy: -0.928 eV/atom
Calculated density: 3.09 Mg/m³


Entry 2:
A plane-wave DFT calculation with PBE-GGA was carried out for a geometry-optimized KRb3Te4 structure.

Cell and atoms, written as CIF:
```
data_KRb3Te4
_chemical_formula_sum 'K1 Rb3 Te4'
_cell_length_a 5.447
_cell_length_b 7.001
_cell_length_c 11.268
_cell_angle_alpha 108.10
_cell_angle_beta 103.99
_cell_angle_gamma 90.00
_symmetry_space_group_name_H-M 'P 1'
_symmetry_Int_Tables_number 1
loop_
_symmetry_equiv_pos_as_xyz
'x,y,z'
loop_
_atom_site_label
_atom_site_type_symbol
_atom_site_fract_x
_atom_site_fract_y
_atom_site_fract_z
Rb1 Rb 0.205 0.205 0.410
Te1 Te 0.373 0.173 0.745
Te2 Te 0.627 0.428 0.255
Rb2 Rb 0.795 0.795 0.590
Te3 Te 0.627 0.827 0.255
Te4 Te 0.373 0.572 0.745
Rb3 Rb 0.000 0.500 0.000
K1 K 0.500 0.000 0.000
```

Summary:
E: -2.85 eV/atom
Space-group type: No. 71
Energy above the lowest structure with this stoichiometry: 0 meV/atom
Volume: 395 Å³/cell
Total magnetic moment: 0.0 μB/cell
Raw formation energy: -0.776 eV/atom
Calculated density: 3.39 Mg/m³


Entry 3:
A plane-wave DFT calculation with PBE-GGA was carried out for a geometry-optimized KRb3Te structure.

Cell and atoms, written as CIF:
```
data_KRb3Te
_chemical_formula_sum 'K1 Rb3 Te1'
_cell_length_a 7.159
_cell_length_b 7.159
_cell_length_c 7.159
_cell_angle_alpha 90.00
_cell_angle_beta 90.00
_cell_angle_gamma 90.00
_symmetry_space_group_name_H-M 'P 1'
_symmetry_Int_Tables_number 1
loop_
_symmetry_equiv_pos_as_xyz
'x,y,z'
loop_
_atom_site_label
_atom_site_type_symbol
_atom_site_fract_x
_atom_site_fract_y
_atom_site_fract_z
Rb1 Rb 0.000 0.500 0.000
Rb2 Rb 0.000 0.000 0.500
Te1 Te 0.500 0.500 0.500
K1 K 0.000 0.000 0.000
Rb3 Rb 0.500 0.000 0.000
```

Summary:
E: -1.32 eV/atom
Space-group type: No. 221
Energy above the lowest structure with this stoichiometry: 614 meV/atom
Volume: 367 Å³/cell
Total magnetic moment: 0.0 μB/cell
Raw formation energy: 0.112 eV/atom
Calculated density: 1.91 Mg/m³


Entry 4:
A plane-wave DFT calculation with PBE-GGA was carried out for a geometry-optimized KRbTe structure.

Cell and atoms, written as CIF:
```
data_KRbTe
_chemical_formula_sum 'K1 Rb1 Te1'
_cell_length_a 4.865
_cell_length_b 4.865
_cell_length_c 6.304
_cell_angle_alpha 112.70
_cell_angle_beta 112.70
_cell_angle_gamma 90.00
_symmetry_space_group_name_H-M 'P 1'
_symmetry_Int_Tables_number 1
loop_
_symmetry_equiv_pos_as_xyz
'x,y,z'
loop_
_atom_site_label
_atom_site_type_symbol
_atom_site_fract_x
_atom_site_fract_y
_atom_site_fract_z
Te1 Te 0.949 0.949 0.899
Rb1 Rb 0.604 0.604 0.208
K1 K 0.296 0.296 0.593
```

Summary:
E: -2.62 eV/atom
Space-group type: No. 107
Volume: 125 Å³/cell
Total magnetic moment: 0.0 μB/cell
Raw formation energy: -0.885 eV/atom
Calculated density: 3.35 Mg/m³